An optimized crystal structure of CrAsOsSe2, computed with GGA-PBE.

Results
The value obtained for the size of the total moment is 2.642 μB/f.u. Its space group is P4/mmm (123). The electronic total energy comes out at -26.6 eV per cell.

CIF file:
```
data_CrAsOsSe2
_cell_length_a 4.6239
_cell_length_b 4.6239
_cell_length_c 4.5968
_cell_angle_alpha 90.00
_cell_angle_beta 90.00
_cell_angle_gamma 90.00
_symmetry_space_group_name_H-M 'P 1'
_symmetry_Int_Tables_number 1
_symmetry_space_group_name_Hall 'P 1'
loop_
_atom_site_label
_atom_site_type_symbol
_atom_site_fract_x
_atom_site_fract_y
_atom_site_fract_z
Cr1 Cr 0.0000 0.0000 0.0000
As1 As 0.0000 0.0000 0.5000
Os1 Os 0.5000 0.5000 0.5000
Se1 Se 0.0000 0.5000 0.0000
Se2 Se 0.5000 0.0000 0.0000
```

***

An optimized crystal structure of Rb2OsRhCl6, computed with GGA-PBE.

Results
The value obtained for the size of the total moment is 2.998 μB/f.u. Its space group is I4/mmm (139). The electronic total energy comes out at -39.0 eV per cell.

CIF file:
```
data_Rb2OsRhCl6
_cell_length_a 6.9334
_cell_length_b 6.9334
_cell_length_c 6.9334
_cell_angle_alpha 115.47
_cell_angle_beta 115.47
_cell_angle_gamma 98.04
_symmetry_space_group_name_H-M 'P 1'
_symmetry_Int_Tables_number 1
_symmetry_space_group_name_Hall 'P 1'
loop_
_atom_site_label
_atom_site_type_symbol
_atom_site_fract_x
_atom_site_fract_y
_atom_site_fract_z
Rb1 Rb 0.2500 0.7500 0.5000
Rb2 Rb 0.7500 0.2500 0.5000
Os1 Os 0.0000 0.0000 0.0000
Rh1 Rh 0.5000 0.5000 0.0000
Cl1 Cl 0.2332 0.2332 0.4664
Cl2 Cl 0.2332 0.7668 0.0000
Cl3 Cl 0.2503 0.2503 0.0000
Cl4 Cl 0.7497 0.7497 0.0000
Cl5 Cl 0.7668 0.2332 0.0000
Cl6 Cl 0.7668 0.7668 0.5336
```

***

An optimized crystal structure of MgReTc2, computed with GGA-PBE.

Results
The value obtained for the size of the total moment is 0.000 μB/f.u. Its formation energy from the elements is 0.253 eV/atom. Its space group is Pmmm (47).

CIF file:
```
data_MgReTc2
_cell_length_a 2.7493
_cell_length_b 4.0539
_cell_length_c 5.4538
_cell_angle_alpha 90.00
_cell_angle_beta 90.00
_cell_angle_gamma 90.00
_symmetry_space_group_name_H-M 'P 1'
_symmetry_Int_Tables_number 1
_symmetry_space_group_name_Hall 'P 1'
loop_
_atom_site_label
_atom_site_type_symbol
_atom_site_fract_x
_atom_site_fract_y
_atom_site_fract_z
Mg1 Mg 0.0000 0.0000 0.0000
Re1 Re 0.0000 0.0000 0.5000
Tc1 Tc 0.5000 0.5000 0.2567
Tc2 Tc 0.5000 0.5000 0.7433
```

***

An optimized crystal structure of ZrTl2Mo, computed with GGA-PBE.

Results
The value obtained for the size of the total moment is 0.000 μB/f.u. Its formation energy from the elements is 0.432 eV/atom. Its space group is C2/m (12).

CIF file:
```
data_ZrTl2Mo
_cell_length_a 5.6022
_cell_length_b 5.6022
_cell_length_c 3.0432
_cell_angle_alpha 96.86
_cell_angle_beta 96.86
_cell_angle_gamma 114.54
_symmetry_space_group_name_H-M 'P 1'
_symmetry_Int_Tables_number 1
_symmetry_space_group_name_Hall 'P 1'
loop_
_atom_site_label
_atom_site_type_symbol
_atom_site_fract_x
_atom_site_fract_y
_atom_site_fract_z
Zr1 Zr 0.0000 0.0000 0.0000
Tl1 Tl 0.0000 0.5000 0.5000
Tl2 Tl 0.5000 0.0000 0.5000
Mo1 Mo 0.5000 0.5000 0.0000
```

***

Which formula does entry 2 have?
Rb2OsRhCl6

***

Which value of size of the total moment does entry 4 give?
0.000 μB/f.u.

***

size of the total moment of number 4 (ZrTl2Mo)?
0.000 μB/f.u.